## CeEr2Hf3N6 (PBE-GGA)

Data for a geometry-optimized CeEr2Hf3N6 structure.

The raw total energy comes out at -232.30 eV per cell. Its raw formation energy is -1.77 eV per atom.

It has space group C2/m (No. 12), with a = 14.584 Å, b = 3.303 Å, c = 6.708 Å, α = 90.00°, β = 104.22° and γ = 90.00°. The asymmetric unit holds Ce at (0.000, 0.000, 0.000), Er at (0.168, 0.500, 0.334), Hf at (0.000, 0.000, 0.500), Hf at (0.168, 0.500, 0.833), N at (0.005, 0.500, 0.729), N at (0.163, 0.000, 0.595) and N at (0.175, 0.000, 0.074).



## CeEr3Hf2N6 (PBE-GGA)

Data for a geometry-optimized CeEr3Hf2N6 structure.

The raw total energy comes out at -220.69 eV per cell. Its raw formation energy is -1.74 eV per atom.

It has space group C2/m (No. 12), with a = 14.688 Å, b = 3.355 Å, c = 6.765 Å, α = 90.00°, β = 103.12° and γ = 90.00°. The asymmetric unit holds Ce at (0.000, 0.000, 0.000), Er at (0.000, 0.000, 0.500), Er at (0.167, 0.500, 0.832), Hf at (0.169, 0.500, 0.338), N at (0.010, 0.500, 0.261), N at (0.171, 0.000, 0.104) and N at (0.172, 0.000, 0.573).



## CeErHfN3 (PBE-GGA)

Data for a geometry-optimized CeErHfN3 structure.

The raw total energy comes out at -106.73 eV per cell. Its raw formation energy is -1.32 eV per atom.

It has space group P2_1/m (No. 11), with a = 6.418 Å, b = 3.310 Å, c = 9.684 Å, α = 90.00°, β = 93.03° and γ = 90.00°. The asymmetric unit holds Ce at (0.183, 0.250, 0.233), Er at (0.339, 0.750, 0.887), Hf at (0.172, 0.250, 0.582), N at (0.116, 0.250, 0.799), N at (0.165, 0.750, 0.442) and N at (0.384, 0.750, 0.121).



## Ce3ErHf2N6 (PBE-GGA)

Data for a geometry-optimized Ce3ErHf2N6 structure.

The raw total energy comes out at -224.66 eV per cell. Its raw formation energy is -1.68 eV per atom.

It has space group C2/m (No. 12), with a = 5.843 Å, b = 10.121 Å, c = 6.019 Å, α = 90.00°, β = 108.86° and γ = 90.00°. The asymmetric unit holds Ce at (0.000, 0.000, 0.000), Ce at (0.000, 0.335, 0.000), Er at (0.000, 0.500, 0.500), Hf at (0.000, 0.167, 0.500), N at (0.225, 0.000, 0.719) and N at (0.248, 0.326, 0.722).



## Ce2ErHfN4 (PBE-GGA)

Data for a geometry-optimized Ce2ErHfN4 structure.

The raw total energy comes out at -72.93 eV per cell. Its raw formation energy is -1.66 eV per atom.

It has space group P2/m (No. 10), with a = 5.909 Å, b = 3.399 Å, c = 6.023 Å, α = 90.00°, β = 108.96° and γ = 90.00°. The asymmetric unit holds Ce at (0.000, 0.000, 0.000), Ce at (0.500, 0.500, 0.000), Er at (0.000, 0.500, 0.500), Hf at (0.500, 0.000, 0.500), N at (0.258, 0.000, 0.730) and N at (0.272, 0.500, 0.278).



## CeEr2HfP4 (PBE-GGA)

Data for a geometry-optimized CeEr2HfP4 structure.

The raw total energy comes out at -58.53 eV per cell.

It has space group P2/m (No. 10), with a = 6.781 Å, b = 3.919 Å, c = 6.793 Å, α = 90.00°, β = 109.29° and γ = 90.00°. The asymmetric unit holds Ce at (0.000, 0.000, 0.000), Er at (0.500, 0.000, 0.500), Er at (0.500, 0.500, 0.000), Hf at (0.000, 0.500, 0.500), P at (0.240, 0.000, 0.736) and P at (0.248, 0.500, 0.261).



## Ce2ErHfP4 (PBE-GGA)

Data for a geometry-optimized Ce2ErHfP4 structure.

The raw total energy comes out at -59.87 eV per cell.

It has space group P2/m (No. 10), with a = 6.839 Å, b = 3.945 Å, c = 6.841 Å, α = 90.00°, β = 109.37° and γ = 90.00°. The asymmetric unit holds Ce at (0.000, 0.000, 0.000), Ce at (0.000, 0.500, 0.500), Er at (0.500, 0.000, 0.500), Hf at (0.500, 0.500, 0.000), P at (0.264, 0.500, 0.245) and P at (0.269, 0.000, 0.765).



## CeErTmHf (PBE-GGA)

Data for a geometry-optimized CeErTmHf structure.

The raw total energy comes out at -95.75 eV per cell.

It has space group F-43m (No. 216), with a = 7.622 Å, b = 7.622 Å, c = 7.622 Å, α = 90.00°, β = 90.00° and γ = 90.00°. The asymmetric unit holds Ce at (0.000, 0.000, 0.000), Er at (0.000, 0.000, 0.500), Tm at (0.250, 0.250, 0.250) and Hf at (0.250, 0.250, 0.750).



## CeErHfZr (PBE-GGA)

Data for a geometry-optimized CeErHfZr structure.

The raw total energy comes out at -112.46 eV per cell.

It has space group F-43m (No. 216), with a = 7.428 Å, b = 7.428 Å, c = 7.428 Å, α = 90.00°, β = 90.00° and γ = 90.00°. The asymmetric unit holds Ce at (0.000, 0.000, 0.000), Er at (0.250, 0.250, 0.750), Hf at (0.250, 0.250, 0.250) and Zr at (0.000, 0.000, 0.500).



## CeEr2Hg3 (PBE-GGA)

Data for a geometry-optimized CeEr2Hg3 structure.

The raw total energy comes out at -18.48 eV per cell.

It has space group P4/mmm (No. 123), with a = 3.689 Å, b = 3.689 Å, c = 11.499 Å, α = 90.00°, β = 90.00° and γ = 90.00°. The asymmetric unit holds Ce at (0.000, 0.000, 0.000), Er at (0.000, 0.000, 0.339), Hg at (0.500, 0.500, 0.184) and Hg at (0.500, 0.500, 0.500).



## CeErHg3 (PBE-GGA)

Data for a geometry-optimized CeErHg3 structure.

The raw total energy comes out at -22.95 eV per cell. The calculation puts the energy above the most stable polymorph in this dataset at 0.361 eV per atom.

It has space group P6_3/mmc (No. 194), with a = 7.5430 Å, b = 7.5430 Å, c = 5.8836 Å, α = 90.00°, β = 90.00° and γ = 120.00°. The asymmetric unit holds Ce at (0.0000, 0.0000, 0.0000), Er at (0.3333, 0.6667, 0.2500) and Hg at (0.2058, 0.4115, 0.7500).



## CeEr2Hg6 (PBE-GGA)

Data for a geometry-optimized CeEr2Hg6 structure.

The raw total energy comes out at -20.06 eV per cell.

It has space group P6/mmm (No. 191), with a = 8.6570 Å, b = 8.6570 Å, c = 3.3960 Å, α = 90.00°, β = 90.00° and γ = 120.00°. The asymmetric unit holds Ce at (0.0000, 0.0000, 0.0000), Er at (0.3333, 0.6667, 0.0000) and Hg at (0.0000, 0.3360, 0.5000).



## CeEr4Hg4 (PBE-GGA)

Data for a geometry-optimized CeEr4Hg4 structure.

The raw total energy comes out at -54.32 eV per cell.

It has space group P4_2/n (No. 86, origin choice 2), with a = 9.551 Å, b = 9.551 Å, c = 5.475 Å, α = 90.00°, β = 90.00° and γ = 90.00°. The asymmetric unit holds Ce at (0.250, 0.250, 0.250), Er at (0.101, 0.838, 0.672) and Hg at (0.040, 0.144, 0.828).



## CeEr2Hg (PBE-GGA)

Data for a geometry-optimized CeEr2Hg structure.

The raw total energy comes out at -61.12 eV per cell. The calculation puts the energy above the most stable polymorph in this dataset at 0.215 eV per atom.

It has space group Fm-3m (No. 225), with a = 7.478 Å, b = 7.478 Å, c = 7.478 Å, α = 90.00°, β = 90.00° and γ = 90.00°. The asymmetric unit holds Ce at (0.000, 0.000, 0.000), Er at (0.250, 0.250, 0.250) and Hg at (0.000, 0.000, 0.500).



## Ce2ErHg8 (PBE-GGA)

Data for a geometry-optimized Ce2ErHg8 structure.

The raw total energy comes out at -43.89 eV per cell.

It has space group C2/m (No. 12), with a = 15.948 Å, b = 5.121 Å, c = 7.311 Å, α = 90.00°, β = 110.57° and γ = 90.00°. The asymmetric unit holds Ce at (0.209, 0.000, 0.156), Er at (0.000, 0.500, 0.500), Hg at (0.015, 0.000, 0.229), Hg at (0.095, 0.500, 0.943), Hg at (0.153, 0.000, 0.658) and Hg at (0.163, 0.500, 0.388).



## CeEr3Hg4 (PBE-GGA)

Data for a geometry-optimized CeEr3Hg4 structure.

The raw total energy comes out at -48.34 eV per cell.

It has space group Pmma (No. 51), with a = 10.455 Å, b = 7.606 Å, c = 5.227 Å, α = 90.00°, β = 90.00° and γ = 90.00°. The asymmetric unit holds Ce at (0.000, 0.000, 0.000), Er at (0.000, 0.500, 0.000), Er at (0.250, 0.000, 0.499), Er at (0.250, 0.500, 0.499), Hg at (0.000, 0.262, 0.500) and Hg at (0.250, 0.262, 0.999).



## CeEr5Hg6 (PBE-GGA)

Data for a geometry-optimized CeEr5Hg6 structure.

The raw total energy comes out at -35.81 eV per cell.

It has space group P2/m (No. 10), with a = 5.227 Å, b = 7.477 Å, c = 8.310 Å, α = 90.00°, β = 108.22° and γ = 90.00°. The asymmetric unit holds Ce at (0.000, 0.000, 0.000), Er at (0.000, 0.500, 0.000), Er at (0.333, 0.000, 0.664), Er at (0.337, 0.500, 0.673), Hg at (0.170, 0.258, 0.342) and Hg at (0.500, 0.258, 0.000).



## Ce2ErHg6 (PBE-GGA)

Data for a geometry-optimized Ce2ErHg6 structure.

The raw total energy comes out at -21.43 eV per cell.

It has space group P6/mmm (No. 191), with a = 8.7464 Å, b = 8.7464 Å, c = 3.3829 Å, α = 90.00°, β = 90.00° and γ = 120.00°. The asymmetric unit holds Ce at (0.3333, 0.6667, 0.0000), Er at (0.0000, 0.0000, 0.0000) and Hg at (0.0000, 0.3304, 0.5000).



## CeEr2Hg (PBE-GGA)

Data for a geometry-optimized CeEr2Hg structure.

The raw total energy comes out at -16.14 eV per cell. The calculation puts the energy above the most stable polymorph in this dataset at 0.000 eV per atom.

It has space group P4/mmm (No. 123), with a = 3.563 Å, b = 3.563 Å, c = 8.649 Å, α = 90.00°, β = 90.00° and γ = 90.00°. The asymmetric unit holds Ce at (0.000, 0.000, 0.000), Er at (0.500, 0.500, 0.272) and Hg at (0.000, 0.000, 0.500).



## CeEr2Hg (PBE-GGA)

Data for a geometry-optimized CeEr2Hg structure.

The raw total energy comes out at -47.34 eV per cell. The calculation puts the energy above the most stable polymorph in this dataset at 0.090 eV per atom.

It has space group R3m (No. 160, hexagonal axes), with a = 3.5650 Å, b = 3.5650 Å, c = 31.6562 Å, α = 90.00°, β = 90.00° and γ = 120.00°. The asymmetric unit holds Ce at (0.0000, 0.0000, 0.0000), Er at (0.0000, 0.0000, 0.5755), Er at (0.0000, 0.0000, 0.7578) and Hg at (0.0000, 0.0000, 0.1664).



## CeEr2Hg (PBE-GGA)

Data for a geometry-optimized CeEr2Hg structure.

The raw total energy comes out at -15.80 eV per cell. The calculation puts the energy above the most stable polymorph in this dataset at 0.086 eV per atom.

It has space group P4/mmm (No. 123), with a = 4.844 Å, b = 4.844 Å, c = 4.667 Å, α = 90.00°, β = 90.00° and γ = 90.00°. The asymmetric unit holds Ce at (0.000, 0.000, 0.000), Er at (0.000, 0.500, 0.500) and Hg at (0.500, 0.500, 0.000).



## Ce2ErHg5 (PBE-GGA)

Data for a geometry-optimized Ce2ErHg5 structure.

The raw total energy comes out at -41.05 eV per cell.

It has space group I4/mmm (No. 139), with a = 5.103 Å, b = 5.103 Å, c = 15.691 Å, α = 90.00°, β = 90.00° and γ = 90.00°. The asymmetric unit holds Ce at (0.000, 0.000, 0.238), Er at (0.000, 0.000, 0.500), Hg at (0.000, 0.000, 0.000) and Hg at (0.000, 0.500, 0.117).



## CeErHg3 (PBE-GGA)

Data for a geometry-optimized CeErHg3 structure.

The raw total energy comes out at -53.12 eV per cell. The calculation puts the energy above the most stable polymorph in this dataset at 0.000 eV per atom.

It has space group Cmcm (No. 63), with a = 3.523 Å, b = 29.422 Å, c = 4.973 Å, α = 90.00°, β = 90.00° and γ = 90.00°. The asymmetric unit holds Ce at (0.000, 0.076, 0.250), Er at (0.000, 0.212, 0.750), Hg at (0.000, 0.317, 0.750), Hg at (0.000, 0.376, 0.250) and Hg at (0.000, 0.475, 0.250).



## Ce2ErHg3 (PBE-GGA)

Data for a geometry-optimized Ce2ErHg3 structure.

The raw total energy comes out at -19.45 eV per cell.

It has space group P4/mmm (No. 123), with a = 3.666 Å, b = 3.666 Å, c = 12.008 Å, α = 90.00°, β = 90.00° and γ = 90.00°. The asymmetric unit holds Ce at (0.000, 0.000, 0.173), Er at (0.000, 0.000, 0.500), Hg at (0.500, 0.500, 0.000) and Hg at (0.500, 0.500, 0.351).